{"formula": "Tm2MgB2Rh5", "functional": "PBE-GGA", "state": "optimized geometry", "m_tot_mub_per_cell": 0.000, "vol_a3_per_atom": 14.5, "space_group": "P4/mbm, No. 127", "ef_ev_per_atom": -0.814, "e_tot_ev_per_atom": -6.88, "n_ef_per_ev_cell": 8.9, "lattice_angstrom": [[3.1661, 0.0000, 0.0000], [0.0000, 9.5687, 0.0000], [0.0000, 0.0000, 9.5687]], "species": ["Tm", "Tm", "Tm", "Tm", "Mg", "Mg", "B", "B", "B", "B", "Rh", "Rh", "Rh", "Rh", "Rh", "Rh", "Rh", "Rh", "Rh", "Rh"], "frac_coords": [[0.0000, 0.6756, 0.1756], [0.0000, 0.3244, 0.8244], [0.0000, 0.1756, 0.3244], [0.0000, 0.8244, 0.6756], [0.0000, 0.0000, 0.0000], [0.0000, 0.5000, 0.5000], [0.0000, 0.1234, 0.6234], [0.0000, 0.8766, 0.3766], [0.0000, 0.6234, 0.8766], [0.0000, 0.3766, 0.1234], [0.5000, 0.2230, 0.0705], [0.5000, 0.7770, 0.9295], [0.5000, 0.0705, 0.7770], [0.5000, 0.7230, 0.4295], [0.5000, 0.9295, 0.2230], [0.5000, 0.2770, 0.5705], [0.5000, 0.5705, 0.7230], [0.5000, 0.4295, 0.2770], [0.5000, 0.5000, 0.0000], [0.5000, 0.0000, 0.5000]]}

---

{"formula": "CsHg2RhPb", "functional": "PBE-GGA", "state": "optimized geometry", "m_tot_mub_per_cell": 0.000, "vol_a3_per_atom": 31.6, "space_group": "P4/mmm, No. 123", "ef_ev_per_atom": -0.137, "e_tot_ev_per_atom": -2.64, "n_ef_per_ev_cell": 2.5, "lattice_angstrom": [[5.4993, 0.0000, 0.0000], [0.0000, 5.4993, 0.0000], [0.0000, 0.0000, 5.2229]], "species": ["Pb", "Cs", "Rh", "Hg", "Hg"], "frac_coords": [[0.0000, 0.0000, 0.5000], [0.5000, 0.5000, 0.5000], [0.0000, 0.0000, 0.0000], [0.0000, 0.5000, 0.0000], [0.5000, 0.0000, 0.0000]]}

---

{"formula": "NaAlN2O", "functional": "PBE-GGA", "state": "optimized geometry", "m_tot_mub_per_cell": 4.376, "vol_a3_per_atom": 13.9, "space_group": "P4/mmm, No. 123", "e_tot_ev_per_atom": -3.54, "n_ef_per_ev_cell": 2.3, "lattice_angstrom": [[4.1724, 0.0000, 0.0000], [0.0000, 4.1724, 0.0000], [0.0000, 0.0000, 4.0014]], "species": ["Na", "Al", "O", "N", "N"], "frac_coords": [[0.0000, 0.0000, 0.0000], [0.5000, 0.5000, 0.5000], [0.0000, 0.0000, 0.5000], [0.0000, 0.5000, 0.0000], [0.5000, 0.0000, 0.0000]]}

---

{"formula": "NdY4Tm10", "functional": "PBE-GGA", "state": "optimized geometry", "m_tot_mub_per_cell": 0.000, "vol_a3_per_atom": 33.8, "space_group": "I4/m, No. 87", "ef_ev_per_atom": 0.473, "e_tot_ev_per_atom": -4.55, "n_ef_per_ev_cell": 28.9, "lattice_angstrom": [[-9.8292, -4.0458, 1.7059], [-2.2457, -6.7208, 5.0893], [-5.7623, 2.2681, 6.1454]], "species": ["Nd", "Y", "Y", "Y", "Y", "Tm", "Tm", "Tm", "Tm", "Tm", "Tm", "Tm", "Tm", "Tm", "Tm"], "frac_coords": [[0.0000, 0.0000, 0.0000], [0.5566, 0.6494, 0.2375], [0.7941, 0.7625, 0.6494], [0.2059, 0.2375, 0.3506], [0.4434, 0.3506, 0.7625], [0.2500, 0.5000, 0.5000], [0.7103, 0.3410, 0.9006], [0.9487, 0.0994, 0.3410], [0.3890, 0.9006, 0.6590], [0.9519, 0.6590, 0.0994], [0.2897, 0.6590, 0.0994], [0.7500, 0.5000, 0.5000], [0.0481, 0.3410, 0.9006], [0.6110, 0.0994, 0.3410], [0.0513, 0.9006, 0.6590]]}

---

{"formula": "Ca11Ag9Hg4", "functional": "PBE-GGA", "state": "optimized geometry", "m_tot_mub_per_cell": 0.000, "vol_a3_per_atom": 26.0, "space_group": "Cmmm, No. 65", "ef_ev_per_atom": -0.331, "e_tot_ev_per_atom": -2.37, "n_ef_per_ev_cell": 17.0, "lattice_angstrom": [[3.7745, 0.0000, 0.0000], [0.0000, 12.3298, -4.8260], [0.0000, 0.4077, 13.2343]], "species": ["Ca", "Ca", "Ca", "Ca", "Ca", "Ca", "Ca", "Ca", "Ca", "Ca", "Ca", "Ag", "Ag", "Ag", "Ag", "Ag", "Ag", "Ag", "Ag", "Ag", "Hg", "Hg", "Hg", "Hg"], "frac_coords": [[0.0000, 0.5925, 0.9331], [0.0000, 0.4075, 0.0669], [0.0000, 0.9331, 0.5925], [0.0000, 0.0669, 0.4075], [0.0000, 0.6426, 0.3574], [0.0000, 0.3574, 0.6426], [0.0000, 0.8234, 0.1766], [0.0000, 0.1766, 0.8234], [0.0000, 0.0000, 0.0000], [0.0000, 0.7614, 0.7614], [0.0000, 0.2386, 0.2386], [0.5000, 0.6187, 0.1471], [0.5000, 0.3813, 0.8529], [0.5000, 0.1471, 0.6187], [0.5000, 0.8529, 0.3813], [0.5000, 0.7991, 0.9719], [0.5000, 0.2009, 0.0281], [0.5000, 0.9719, 0.7991], [0.5000, 0.0281, 0.2009], [0.5000, 0.5000, 0.5000], [0.5000, 0.5601, 0.7337], [0.5000, 0.4399, 0.2663], [0.5000, 0.7337, 0.5601], [0.5000, 0.2663, 0.4399]]}

---

{"formula": "BaNi2Br", "functional": "PBE-GGA", "state": "optimized geometry", "m_tot_mub_per_cell": 0.000, "vol_a3_per_atom": 23.1, "space_group": "R-3m, No. 166", "e_tot_ev_per_atom": -3.71, "n_ef_per_ev_cell": 3.6, "lattice_angstrom": [[5.8776, 0.0067, 0.0043], [4.1549, 4.1573, 0.0043], [4.1549, 1.7245, 3.7827]], "species": ["Ba", "Br", "Ni", "Ni"], "frac_coords": [[0.2500, 0.2500, 0.2500], [0.7500, 0.7500, 0.7500], [0.0672, 0.0672, 0.0672], [0.4328, 0.4328, 0.4328]]}

---

{"formula": "YMg2Hg4", "functional": "PBE-GGA", "state": "optimized geometry", "m_tot_mub_per_cell": 0.000, "vol_a3_per_atom": 24.5, "space_group": "R-3m, No. 166", "ef_ev_per_atom": -0.277, "e_tot_ev_per_atom": -1.83, "n_ef_per_ev_cell": 3.0, "lattice_angstrom": [[-0.1718, 4.7517, 1.2535], [-0.8291, 1.2812, 4.6744], [7.7108, 1.9187, 3.4281]], "species": ["Y", "Mg", "Mg", "Hg", "Hg", "Hg", "Hg"], "frac_coords": [[0.0000, 0.0000, 0.0000], [0.7510, 0.7510, 0.7471], [0.2490, 0.2490, 0.2529], [0.8698, 0.8698, 0.3906], [0.1302, 0.1302, 0.6094], [0.6136, 0.6136, 0.1593], [0.3864, 0.3864, 0.8407]]}

---

{"formula": "Sr2CdInRh", "functional": "PBE-GGA", "state": "optimized geometry", "m_tot_mub_per_cell": 0.000, "vol_a3_per_atom": 34.4, "space_group": "P4/mmm, No. 123", "ef_ev_per_atom": -0.271, "e_tot_ev_per_atom": -3.14, "n_ef_per_ev_cell": 2.8, "lattice_angstrom": [[-0.0126, -4.6474, -3.4144], [-1.8122, -3.2382, 4.4143], [-4.9055, 0.9701, -1.3023]], "species": ["Sr", "Sr", "Cd", "Rh", "In"], "frac_coords": [[0.0000, 0.5000, 0.0000], [0.5000, 0.0000, 0.0000], [0.5000, 0.5000, 0.5000], [0.0000, 0.0000, 0.0000], [0.0000, 0.0000, 0.5000]]}